(1)
# Nd3ErZn2, relaxed, DFT GGA-PBE
data_Nd3ErZn2
_space_group_name_H-M_alt 'P 4/m m m'
_space_group_IT_number 123
_space_group_name_Hall '-P 4 2'
_cell_length_a 3.681
_cell_length_b 3.681
_cell_length_c 12.306
_cell_angle_alpha 90.00
_cell_angle_beta 90.00
_cell_angle_gamma 90.00
loop_
_atom_site_label
_atom_site_type_symbol
_atom_site_fract_x
_atom_site_fract_y
_atom_site_fract_z
Nd1 Nd 0.000 0.000 0.000
Nd2 Nd 0.000 0.000 0.296
Er1 Er 0.500 0.500 0.500
Zn1 Zn 0.500 0.500 0.149
# E above lowest polymorph (eV per formula unit): 0.00
# Total moment (μB per cell): 0.00
# Calculated formation energy (eV per atom): -0.194


(2)
# Nd9Er4Zn11, relaxed, DFT GGA-PBE
data_Nd9Er4Zn11
_space_group_name_H-M_alt 'C m m m'
_space_group_IT_number 65
_space_group_name_Hall '-C 2 2'
_cell_length_a 15.275
_cell_length_b 22.139
_cell_length_c 3.520
_cell_angle_alpha 90.00
_cell_angle_beta 90.00
_cell_angle_gamma 90.00
loop_
_atom_site_label
_atom_site_type_symbol
_atom_site_fract_x
_atom_site_fract_y
_atom_site_fract_z
Nd1 Nd 0.000 0.000 0.000
Nd2 Nd 0.115 0.244 0.000
Nd3 Nd 0.123 0.416 0.000
Er1 Er 0.155 0.094 0.000
Zn1 Zn 0.000 0.136 0.500
Zn2 Zn 0.000 0.334 0.500
Zn3 Zn 0.000 0.500 0.500
Zn4 Zn 0.240 0.000 0.500
Zn5 Zn 0.240 0.322 0.500
# Total moment (μB per cell): 0.51
# Calculated formation energy (eV per atom): -0.229


What is the total moment in the first record?
0.00 μB per cell


total moment of number 1 (Nd3ErZn2)?
0.00 μB per cell


Which of these has the lowest total moment?
Nd3ErZn2


Among the records above, which one has the highest total moment?
Nd9Er4Zn11